Here is Rb2Tl2Cl after structural relaxation from Alexandria. Energies are from GGA-PBE.

The value obtained for the energy is -2.432 eV per atom. As for the density of states at the Fermi level: 0.1783 states/eV per atom. The calculation puts the formation energy without anion corrections at -0.729 eV per atom.

The space group is I4/mmm (No. 139) and the conventional cell measures 4.3849, 4.3849 and 20.9836 Å, with angles of 90.00, 90.00 and 90.00 degrees. The distinct sites, in fractional coordinates, are Rb at (0.0000, 0.0000, 0.0898), Tl at (0.0000, 0.5000, 0.2500) and Cl at (0.0000, 0.0000, 0.5000).